1.
DFT (PBE) results for a relaxed structure of InTe4OsAu3.

abc: 6.6221 6.6221 6.6221
angles: 90.00 90.00 90.00
Last column: nearest neighbours and their distance in Å.
Atoms (fractional coordinates):
In  0.0000  0.0000  0.0000  4 Te 3.14
Te  0.7259  0.7259  0.2741  1 Os 2.59, 3 Au 2.79
Te  0.2741  0.2741  0.2741  1 Os 2.59, 3 Au 2.79
Te  0.7259  0.2741  0.7259  1 Os 2.59, 3 Au 2.79
Te  0.2741  0.7259  0.7259  1 Os 2.59, 3 Au 2.79
Au  0.5000  0.0000  0.5000  4 Te 2.79
Au  0.0000  0.5000  0.5000  4 Te 2.79
Au  0.5000  0.5000  0.0000  4 Te 2.79
Os  0.5000  0.5000  0.5000  4 Te 2.59



2.
DFT (PBE) results for a relaxed structure of PaInAu.

abc: 4.8575 4.8575 4.8575
angles: 60.00 60.00 60.00
Last column: nearest neighbours and their distance in Å.
Atoms (fractional coordinates):
Au  0.5000  0.5000  0.5000  4 In 2.97
In  0.2500  0.2500  0.2500  4 Pa 2.97, 4 Au 2.97
Pa  0.0000  0.0000  0.0000  4 In 2.97



3.
DFT (PBE) results for a relaxed structure of PaInAu.

abc: 4.9522 4.9522 4.9522
angles: 60.00 60.00 60.00
Last column: nearest neighbours and their distance in Å.
Atoms (fractional coordinates):
Au  0.2500  0.2500  0.2500  4 Pa 3.03
Pa  0.0000  0.0000  0.0000  4 In 3.03, 4 Au 3.03
In  0.7500  0.7500  0.7500  4 Pa 3.03



4.
DFT (PBE) results for a relaxed structure of InPbAu.

abc: 7.5920 4.4507 8.7621
angles: 90.00 90.00 90.00
Last column: nearest neighbours and their distance in Å.
Atoms (fractional coordinates):
Au  0.2688  0.7500  0.8674  4 In 2.84-2.92, 1 Pb 3.16
Au  0.7312  0.2500  0.1326  4 In 2.84-2.92, 1 Pb 3.16
Au  0.7688  0.7500  0.6326  4 In 2.84-2.92, 1 Pb 3.16
Au  0.2312  0.2500  0.3674  4 In 2.84-2.92, 1 Pb 3.16
Pb  0.9673  0.2500  0.8357  5 Au 3.16-3.22, 2 In 3.43
Pb  0.4673  0.2500  0.6643  5 Au 3.16-3.22, 2 In 3.43
Pb  0.0327  0.7500  0.1643  5 Au 3.16-3.22, 2 In 3.43
Pb  0.5327  0.7500  0.3357  5 Au 3.16-3.22, 2 In 3.43
In  0.6442  0.7500  0.9386  4 Au 2.84-2.92
In  0.3558  0.2500  0.0614  4 Au 2.84-2.92
In  0.1442  0.7500  0.5614  4 Au 2.84-2.92
In  0.8558  0.2500  0.4386  4 Au 2.84-2.92



5.
DFT (PBE) results for a relaxed structure of InPbAu.

abc: 9.7696 9.7696 9.7696
angles: 155.41 155.41 35.05
Last column: nearest neighbours and their distance in Å.
Atoms (fractional coordinates):
Au  0.9268  0.9268  0.0000  1 Au 2.73, 1 In 2.76, 4 Pb 2.96
Au  0.0732  0.0732  0.0000  1 Au 2.73, 1 In 2.76, 4 Pb 2.96
In  0.7785  0.7785  0.0000  1 Au 2.76
In  0.2215  0.2215  0.0000  1 Au 2.76
Pb  0.4070  0.4070  0.0000  4 Au 2.96
Pb  0.5930  0.5930  0.0000  4 Au 2.96



6.
DFT (PBE) results for a relaxed structure of InPbAu.

abc: 7.4224 4.3683 9.1723
angles: 90.00 90.00 90.00
Last column: nearest neighbours and their distance in Å.
Atoms (fractional coordinates):
Au  0.3921  0.7500  0.7147  3 In 2.90-2.99, 3 Pb 3.16-3.19
Au  0.8921  0.7500  0.7853  3 In 2.90-2.99, 3 Pb 3.16-3.19
Au  0.6079  0.2500  0.2853  3 In 2.90-2.99, 3 Pb 3.16-3.19
Au  0.1079  0.2500  0.2147  3 In 2.90-2.99, 3 Pb 3.16-3.19
Pb  0.6464  0.2500  0.9428  3 In 3.05-3.20, 3 Au 3.16-3.19, 2 Pb 3.26
Pb  0.3536  0.7500  0.0572  3 In 3.05-3.20, 3 Au 3.16-3.19, 2 Pb 3.26
Pb  0.1464  0.2500  0.5572  3 In 3.05-3.20, 3 Au 3.16-3.19, 2 Pb 3.26
Pb  0.8536  0.7500  0.4428  3 In 3.05-3.20, 3 Au 3.16-3.19, 2 Pb 3.26
In  0.6162  0.2500  0.6115  3 Au 2.90-2.99, 3 Pb 3.05-3.20
In  0.8838  0.7500  0.1115  3 Au 2.90-2.99, 3 Pb 3.05-3.20
In  0.1162  0.2500  0.8885  3 Au 2.90-2.99, 3 Pb 3.05-3.20
In  0.3838  0.7500  0.3885  3 Au 2.90-2.99, 3 Pb 3.05-3.20



7.
DFT (PBE) results for a relaxed structure of InPbAuS3.

abc: 6.9620 6.9620 11.0205
angles: 90.00 90.00 30.95
Last column: nearest neighbours and their distance in Å.
Atoms (fractional coordinates):
S  0.3405  0.3405  0.9098  1 Au 2.56, 2 In 2.75
S  0.6595  0.6595  0.4098  1 Au 2.56, 2 In 2.75
S  0.6595  0.6595  0.0902  1 Au 2.56, 2 In 2.75
S  0.3405  0.3405  0.5902  1 Au 2.56, 2 In 2.75
S  0.8847  0.8847  0.2500  2 Au 2.61, 2 In 2.74
S  0.1153  0.1153  0.7500  2 Au 2.61, 2 In 2.74
Au  0.5210  0.5210  0.2500  4 S 2.56-2.61
Au  0.4790  0.4790  0.7500  4 S 2.56-2.61
Pb  0.0000  0.0000  0.5000  6 S 3.00-3.16, 4 Au 3.33
Pb  0.0000  0.0000  0.0000  6 S 3.00-3.16, 4 Au 3.33
In  0.2344  0.2344  0.2500  6 S 2.74-2.75
In  0.7656  0.7656  0.7500  6 S 2.74-2.75

Calculated values
energy above the most stable polymorph in this dataset	243.9	meV per atom



8.
DFT (PBE) results for a relaxed structure of InPbAu3S4.

abc: 6.1023 6.1023 6.1023
angles: 90.00 90.00 90.00
Last column: nearest neighbours and their distance in Å.
Atoms (fractional coordinates):
S  0.7643  0.7643  0.2357  1 In 2.49, 3 Au 2.70
S  0.7643  0.2357  0.7643  1 In 2.49, 3 Au 2.70
S  0.2357  0.7643  0.7643  1 In 2.49, 3 Au 2.70
S  0.2357  0.2357  0.2357  1 In 2.49, 3 Au 2.70
Au  0.5000  0.5000  0.0000  4 S 2.70
Au  0.5000  0.0000  0.5000  4 S 2.70
Au  0.0000  0.5000  0.5000  4 S 2.70
Pb  0.5000  0.5000  0.5000  4 S 2.79, 6 Au 3.05
In  0.0000  0.0000  0.0000  4 S 2.49



9.
DFT (PBE) results for a relaxed structure of InPbAuS3.

abc: 7.5669 7.5669 10.3178
angles: 90.00 90.00 149.76
Last column: nearest neighbours and their distance in Å.
Atoms (fractional coordinates):
Au  0.6428  0.3572  0.2500  2 S 2.33
Au  0.3572  0.6428  0.7500  2 S 2.33
In  0.0000  0.0000  0.0000  6 S 2.67-2.70
In  0.0000  0.0000  0.5000  6 S 2.67-2.70
S  0.3782  0.6218  0.5262  1 Au 2.33
S  0.6218  0.3782  0.4738  1 Au 2.33
S  0.9453  0.0547  0.2500  2 In 2.70, 2 Pb 2.77
S  0.0547  0.9453  0.7500  2 In 2.70, 2 Pb 2.77
S  0.6218  0.3782  0.0262  1 Au 2.33
S  0.3782  0.6218  0.9738  1 Au 2.33
Pb  0.3121  0.6879  0.2500  4 S 2.77-3.01
Pb  0.6879  0.3121  0.7500  4 S 2.77-3.01

Calculated values
energy above the most stable polymorph in this dataset	0.0	meV per atom



10.
DFT (PBE) results for a relaxed structure of InPbAuSeS2.

abc: 7.2780 7.2780 11.0212
angles: 90.00 90.00 147.34
Last column: nearest neighbours and their distance in Å.
Atoms (fractional coordinates):
Au  0.3468  0.6532  0.7500  2 S 2.32
Au  0.6532  0.3468  0.2500  2 S 2.32
In  0.2947  0.7053  0.2500  2 Se 2.75, 2 Au 2.85
In  0.7053  0.2947  0.7500  2 Se 2.75, 2 Au 2.85
S  0.6400  0.3600  0.4601  1 Au 2.32
S  0.3600  0.6400  0.9601  1 Au 2.32
S  0.3600  0.6400  0.5399  1 Au 2.32
S  0.6400  0.3600  0.0399  1 Au 2.32
Pb  0.0000  0.0000  0.0000  4 S 2.86, 2 Se 2.94
Pb  0.0000  0.0000  0.5000  4 S 2.86, 2 Se 2.94
Se  0.0741  0.9259  0.7500  2 In 2.75, 2 Pb 2.94
Se  0.9259  0.0741  0.2500  2 In 2.75, 2 Pb 2.94



11.
DFT (PBE) results for a relaxed structure of InTe2PbAuS.

abc: 7.4497 7.4497 11.4553
angles: 90.00 90.00 149.00
Last column: nearest neighbours and their distance in Å.
Atoms (fractional coordinates):
Au  0.0333  0.9667  0.7500  2 S 2.62, 2 Te 2.81
Au  0.9667  0.0333  0.2500  2 S 2.62, 2 Te 2.81
Te  0.8283  0.1717  0.4232  1 Au 2.81
Te  0.1717  0.8283  0.5768  1 Au 2.81
Te  0.1717  0.8283  0.9232  1 Au 2.81
Te  0.8283  0.1717  0.0768  1 Au 2.81
Pb  0.5000  0.5000  0.0000  2 S 3.12, 4 Te 3.29
Pb  0.5000  0.5000  0.5000  2 S 3.12, 4 Te 3.29
In  0.2257  0.7743  0.2500  2 S 2.83
In  0.7743  0.2257  0.7500  2 S 2.83
S  0.5855  0.4145  0.2500  2 Au 2.62, 2 In 2.83
S  0.4145  0.5855  0.7500  2 Au 2.62, 2 In 2.83



12.
DFT (PBE) results for a relaxed structure of InPbAu3Se4.

abc: 6.3248 6.3248 6.3248
angles: 90.00 90.00 90.00
Last column: nearest neighbours and their distance in Å.
Atoms (fractional coordinates):
Se  0.2380  0.2380  0.2380  1 In 2.61, 3 Au 2.79, 1 Pb 2.87
Se  0.7620  0.7620  0.2380  1 In 2.61, 3 Au 2.79, 1 Pb 2.87
Se  0.2380  0.7620  0.7620  1 In 2.61, 3 Au 2.79, 1 Pb 2.87
Se  0.7620  0.2380  0.7620  1 In 2.61, 3 Au 2.79, 1 Pb 2.87
Au  0.5000  0.0000  0.5000  4 Se 2.79
Au  0.0000  0.5000  0.5000  4 Se 2.79
Au  0.5000  0.5000  0.0000  4 Se 2.79
In  0.0000  0.0000  0.0000  4 Se 2.61
Pb  0.5000  0.5000  0.5000  4 Se 2.87, 6 Au 3.16



Number 1: total energy -3.7938 eV per atom. Number 2: total energy -4.9025 eV per atom. Number 3: total energy -4.8500 eV per atom. Number 4: total energy -3.3836 eV per atom. Number 5: total energy -3.2552 eV per atom. Number 6: total energy -3.2152 eV per atom. Number 7: total energy -3.8477 eV per atom. Number 8: total energy -3.6357 eV per atom. Number 9: total energy -4.0916 eV per atom. Number 10: total energy -3.7935 eV per atom. Number 11: total energy -3.4726 eV per atom. Number 12: total energy -3.4174 eV per atom.